VASP calculation (PBE-GGA) on a relaxed structure of PrGa12Ag4.

Lattice parameters (Å, degrees): 7.7867 7.7867 7.7867 109.47 109.47 109.47
With the nearest neighbours (Å) after each atom.
Atoms (fractional coordinates):
Ga: 0.7914 0.1467 0.6447  2 Ga 2.60-2.64, 2 Ag 2.61
Ga: 0.3553 0.5020 0.1467  2 Ga 2.60-2.64, 2 Ag 2.61
Ga: 0.2086 0.8533 0.3553  2 Ga 2.60-2.64, 2 Ag 2.61
Ga: 0.6447 0.4980 0.8533  2 Ga 2.60-2.64, 2 Ag 2.61
Ga: 0.8533 0.3553 0.2086  2 Ga 2.60-2.64, 2 Ag 2.61
Ga: 0.6447 0.7914 0.1467  2 Ga 2.60-2.64, 2 Ag 2.61
Ga: 0.8533 0.6447 0.4980  2 Ga 2.60-2.64, 2 Ag 2.61
Ga: 0.5020 0.1467 0.3553  2 Ga 2.60-2.64, 2 Ag 2.61
Ga: 0.4980 0.8533 0.6447  2 Ga 2.60-2.64, 2 Ag 2.61
Ga: 0.1467 0.6447 0.7914  2 Ga 2.60-2.64, 2 Ag 2.61
Ga: 0.1467 0.3553 0.5020  2 Ga 2.60-2.64, 2 Ag 2.61
Ga: 0.3553 0.2086 0.8533  2 Ga 2.60-2.64, 2 Ag 2.61
Ag: 0.5000 0.5000 0.5000  6 Ga 2.61
Ag: 0.0000 0.5000 0.0000  6 Ga 2.61
Ag: 0.5000 0.0000 0.0000  6 Ga 2.61
Ag: 0.0000 0.0000 0.5000  6 Ga 2.61
Pr: 0.0000 0.0000 0.0000  12 Ga 3.46

Output
Space group: Im-3, No. 204
Energy of formation: 12 meV per atom
Final energy: -0.22614 Ry per atom
Magnetization: 0.00 Bohr magnetons per cell